(1)
# Er11Ag9Pd4 PBE optimized geometry
# Uncorrected energy, eV per formula unit: -109.0
# Magnetic moment, μB/f.u.: 0.00
# Calculated formation energy, eV per atom: -0.516
# Calculated density, kg/m³: 9950
# Density of states at the Fermi level, states/eV/f.u.: 11.8
data_Er11Ag9Pd4
_chemical_formula_sum 'Er22 Ag18 Pd8'
_symmetry_space_group_name_H-M 'C m m m'
_symmetry_Int_Tables_number 65
_symmetry_space_group_name_Hall '-C 2 2'
_cell_length_a 14.186
_cell_length_b 21.181
_cell_length_c 3.595
_cell_angle_alpha 90.00
_cell_angle_beta 90.00
_cell_angle_gamma 90.00
loop_
_atom_site_label
_atom_site_fract_x
_atom_site_fract_y
_atom_site_fract_z
Er1 0.000 0.000 0.000
Er2 0.000 0.167 0.000
Er3 0.000 0.363 0.000
Er4 0.215 0.500 0.000
Er5 0.243 0.170 0.000
Ag1 0.000 0.500 0.500
Ag2 0.110 0.261 0.500
Ag3 0.133 0.076 0.500
Pd1 0.149 0.403 0.500


(2)
# Na3Ga4Ag2 PBE optimized geometry
# Uncorrected energy, eV per formula unit: -22.6
# Magnetic moment, μB/f.u.: 0.00
# Calculated formation energy, eV per atom: -0.089
# Calculated density, kg/m³: 4961
# Density of states at the Fermi level, states/eV/f.u.: 3.3
data_Na3Ga4Ag2
_chemical_formula_sum 'Na3 Ga4 Ag2'
_symmetry_space_group_name_H-M 'P -1'
_symmetry_Int_Tables_number 2
_cell_length_a 4.693
_cell_length_b 5.846
_cell_length_c 7.793
_cell_angle_alpha 75.36
_cell_angle_beta 89.41
_cell_angle_gamma 66.45
loop_
_symmetry_equiv_pos_as_xyz
'x,y,z'
'-x,-y,-z'
loop_
_atom_site_label
_atom_site_fract_x
_atom_site_fract_y
_atom_site_fract_z
Na1 0.000 0.000 0.000
Na2 0.461 0.075 0.694
Ga1 0.133 0.730 0.564
Ga2 0.272 0.453 0.925
Ag1 0.255 0.496 0.287


(3)
# K3HfBr PBE optimized geometry
# Uncorrected energy, eV per formula unit: -13.2
# Magnetic moment, μB/f.u.: 3.99
# Raw formation energy, eV per atom: 0.35
# Calculated density, kg/m³: 2535
# Density of states at the Fermi level, states/eV/f.u.: 11.1
# Polymorph energy (0 for the lowest one), meV per atom: 0
data_K3HfBr
_chemical_formula_sum 'K3 Hf1 Br1'
_symmetry_space_group_name_H-M 'P m -3 m'
_symmetry_Int_Tables_number 221
_symmetry_space_group_name_Hall '-P 4 2 3'
_cell_length_a 6.266
_cell_length_b 6.266
_cell_length_c 6.266
_cell_angle_alpha 90.00
_cell_angle_beta 90.00
_cell_angle_gamma 90.00
loop_
_atom_site_label
_atom_site_fract_x
_atom_site_fract_y
_atom_site_fract_z
K1 0.000 0.000 0.500
Hf1 0.500 0.500 0.500
Br1 0.000 0.000 0.000


(4)
# YTa4Pt PBE optimized geometry
# Uncorrected energy, eV per formula unit: -59.1
# Magnetic moment, μB/f.u.: 0.00
# Calculated formation energy, eV per atom: 0.134
# Calculated density, kg/m³: 13909
# Density of states at the Fermi level, states/eV/f.u.: 4.3
data_YTa4Pt
_chemical_formula_sum 'Y4 Ta16 Pt4'
_symmetry_space_group_name_H-M 'F -4 3 m'
_symmetry_Int_Tables_number 216
_symmetry_space_group_name_Hall 'F -4 2 3'
_cell_length_a 7.836
_cell_length_b 7.836
_cell_length_c 7.836
_cell_angle_alpha 90.00
_cell_angle_beta 90.00
_cell_angle_gamma 90.00
loop_
_atom_site_label
_atom_site_fract_x
_atom_site_fract_y
_atom_site_fract_z
Y1 0.000 0.000 0.000
Ta1 0.126 0.126 0.374
Pt1 0.250 0.250 0.750


(5)
# CuNi2Os PBE optimized geometry
# Uncorrected energy, eV per formula unit: -26.3
# Magnetic moment, μB/f.u.: 0.64
# Calculated formation energy, eV per atom: 0.155
# Calculated density, kg/m³: 12533
# Density of states at the Fermi level, states/eV/f.u.: 4.8
# Polymorph energy (0 for the lowest one), meV per atom: 64
data_CuNi2Os
_chemical_formula_sum 'Cu3 Ni6 Os3'
_symmetry_space_group_name_H-M 'R 3 m'
_symmetry_Int_Tables_number 160
_symmetry_space_group_name_Hall 'R 3 -2"'
_cell_length_a 2.6166
_cell_length_b 2.6166
_cell_length_c 24.8812
_cell_angle_alpha 90.00
_cell_angle_beta 90.00
_cell_angle_gamma 120.00
loop_
_atom_site_label
_atom_site_fract_x
_atom_site_fract_y
_atom_site_fract_z
Cu1 0.0000 0.0000 0.0000
Ni1 0.0000 0.0000 0.4942
Ni2 0.0000 0.0000 0.7476
Os1 0.0000 0.0000 0.2441


(6)
# Th3RuPb PBE optimized geometry
# Uncorrected energy, eV per formula unit: -36.3
# Magnetic moment, μB/f.u.: 0.00
# Calculated formation energy, eV per atom: -0.203
# Calculated density, kg/m³: 10360
# Density of states at the Fermi level, states/eV/f.u.: 5.5
data_Th3RuPb
_chemical_formula_sum 'Th3 Ru1 Pb1'
_symmetry_space_group_name_H-M 'P m -3 m'
_symmetry_Int_Tables_number 221
_symmetry_space_group_name_Hall '-P 4 2 3'
_cell_length_a 5.440
_cell_length_b 5.440
_cell_length_c 5.440
_cell_angle_alpha 90.00
_cell_angle_beta 90.00
_cell_angle_gamma 90.00
loop_
_atom_site_label
_atom_site_fract_x
_atom_site_fract_y
_atom_site_fract_z
Th1 0.000 0.000 0.500
Ru1 0.000 0.000 0.000
Pb1 0.500 0.500 0.500


(7)
# Pr3EuS PBE optimized geometry
# Uncorrected energy, eV per formula unit: -32.1
# Magnetic moment, μB/f.u.: 7.42
# Raw formation energy, eV per atom: -0.67
# Calculated density, kg/m³: 5692
# Density of states at the Fermi level, states/eV/f.u.: 16.6
data_Pr3EuS
_chemical_formula_sum 'Pr3 Eu1 S1'
_symmetry_space_group_name_H-M 'P m -3 m'
_symmetry_Int_Tables_number 221
_symmetry_space_group_name_Hall '-P 4 2 3'
_cell_length_a 5.615
_cell_length_b 5.615
_cell_length_c 5.615
_cell_angle_alpha 90.00
_cell_angle_beta 90.00
_cell_angle_gamma 90.00
loop_
_atom_site_label
_atom_site_fract_x
_atom_site_fract_y
_atom_site_fract_z
Pr1 0.000 0.000 0.500
Eu1 0.500 0.500 0.500
S1 0.000 0.000 0.000


(8)
# PrSmCuPd PBE optimized geometry
# Uncorrected energy, eV per formula unit: -20.8
# Magnetic moment, μB/f.u.: 0.00
# Calculated formation energy, eV per atom: -0.497
# Calculated density, kg/m³: 7895
# Density of states at the Fermi level, states/eV/f.u.: 3.5
# Polymorph energy (0 for the lowest one), meV per atom: 0
data_PrSmCuPd
_chemical_formula_sum 'Pr2 Sm2 Cu2 Pd2'
_symmetry_space_group_name_H-M 'A m m 2'
_symmetry_Int_Tables_number 38
_cell_length_a 4.604
_cell_length_b 3.882
_cell_length_c 10.857
_cell_angle_alpha 90.00
_cell_angle_beta 90.00
_cell_angle_gamma 90.00
loop_
_symmetry_equiv_pos_as_xyz
'x,y,z'
'-x,-y,z'
'-x,y,z'
'x,-y,z'
'x,y+1/2,z+1/2'
'-x,-y+1/2,z+1/2'
'-x,y+1/2,z+1/2'
'x,-y+1/2,z+1/2'
loop_
_atom_site_label
_atom_site_fract_x
_atom_site_fract_y
_atom_site_fract_z
Pr1 0.000 0.000 0.000
Sm1 0.500 0.000 0.277
Cu1 0.500 0.000 0.565
Pd1 0.000 0.000 0.716


(9)
# SrPuInGa PBE optimized geometry
# Uncorrected energy, eV per formula unit: -22.5
# Magnetic moment, μB/f.u.: 5.87
# Calculated formation energy, eV per atom: -0.180
# Calculated density, kg/m³: 7504
# Density of states at the Fermi level, states/eV/f.u.: 11.7
data_SrPuInGa
_chemical_formula_sum 'Sr4 Pu4 In4 Ga4'
_symmetry_space_group_name_H-M 'F -4 3 m'
_symmetry_Int_Tables_number 216
_symmetry_space_group_name_Hall 'F -4 2 3'
_cell_length_a 7.702
_cell_length_b 7.702
_cell_length_c 7.702
_cell_angle_alpha 90.00
_cell_angle_beta 90.00
_cell_angle_gamma 90.00
loop_
_atom_site_label
_atom_site_fract_x
_atom_site_fract_y
_atom_site_fract_z
Sr1 0.000 0.000 0.000
Pu1 0.000 0.000 0.500
In1 0.250 0.250 0.250
Ga1 0.250 0.250 0.750


(10)
# La2Y2Tl3 PBE optimized geometry
# Uncorrected energy, eV per formula unit: -31.8
# Magnetic moment, μB/f.u.: 0.00
# Calculated formation energy, eV per atom: -0.272
# Calculated density, kg/m³: 7834
# Density of states at the Fermi level, states/eV/f.u.: 6.8
# Polymorph energy (0 for the lowest one), meV per atom: 0
data_La2Y2Tl3
_chemical_formula_sum 'La4 Y4 Tl6'
_symmetry_space_group_name_H-M 'I m m m'
_symmetry_Int_Tables_number 71
_symmetry_space_group_name_Hall '-I 2 2'
_cell_length_a 5.399
_cell_length_b 5.534
_cell_length_c 15.164
_cell_angle_alpha 90.00
_cell_angle_beta 90.00
_cell_angle_gamma 90.00
loop_
_atom_site_label
_atom_site_fract_x
_atom_site_fract_y
_atom_site_fract_z
La1 0.000 0.000 0.125
Y1 0.000 0.000 0.381
Tl1 0.000 0.500 0.000
Tl2 0.000 0.500 0.252


(11)
# CrFe6Re5 PBE optimized geometry
# Uncorrected energy, eV per formula unit: -120.6
# Magnetic moment, μB/f.u.: 15.44
# Calculated formation energy, eV per atom: 0.169
# Calculated density, kg/m³: 14020
# Density of states at the Fermi level, states/eV/f.u.: 12.1
data_CrFe6Re5
_chemical_formula_sum 'Cr2 Fe12 Re10'
_symmetry_space_group_name_H-M 'I m m m'
_symmetry_Int_Tables_number 71
_symmetry_space_group_name_Hall '-I 2 2'
_cell_length_a 4.193
_cell_length_b 5.928
_cell_length_c 12.560
_cell_angle_alpha 90.00
_cell_angle_beta 90.00
_cell_angle_gamma 90.00
loop_
_atom_site_label
_atom_site_fract_x
_atom_site_fract_y
_atom_site_fract_z
Cr1 0.000 0.000 0.000
Fe1 0.000 0.246 0.165
Fe2 0.000 0.257 0.500
Re1 0.000 0.000 0.334
Re2 0.000 0.500 0.000
Re3 0.000 0.500 0.332